## NbC3Cl (GGA-PBE)

Data for crystalline NbC3Cl at its relaxed geometry.

a b c (Å): 3.731 3.731 3.731
angles (deg): 90.00 90.00 90.00
Sites, in units of the cell vectors:
1 C 0.000 0.500 0.000
2 Cl 0.000 0.000 0.000
3 Nb 0.500 0.500 0.500
4 C 0.500 0.000 0.000
5 C 0.000 0.000 0.500

Results
The size of the total moment is 0.00 μB per formula unit. For the density of states at the Fermi level, the calculation gives 0.480 states/eV/atom. The calculation puts the offset from the most stable computed form at 52.17 kJ per mole of atoms.

***

## Y3AlN (GGA-PBE)

Data for crystalline Y3AlN at its relaxed geometry.

a b c (Å): 23.996 9.104 9.104
angles (deg): 158.70 157.21 22.79
Sites, in units of the cell vectors:
1 N 0.601 0.062 0.938
2 Al 0.347 0.700 0.300
3 Y 0.603 0.190 0.810
4 N 0.399 0.938 0.062
5 Y 0.053 0.597 0.403
6 Y 0.397 0.810 0.190
7 Y 0.780 0.301 0.699
8 Y 0.947 0.403 0.597
9 Al 0.653 0.300 0.700
10 Y 0.220 0.699 0.301

Results
The size of the total moment is 0.00 μB per formula unit. The value obtained for the raw total energy is -6.8034 eV/atom. For the density of states at the Fermi level, the calculation gives 1.021 states/eV/atom.

***

## Ce6Ir2CCl3 (GGA-PBE)

Data for crystalline Ce6Ir2CCl3 at its relaxed geometry.

a b c (Å): 6.839 6.839 7.656
angles (deg): 98.50 98.50 119.98
Sites, in units of the cell vectors:
1 Ce 0.237 0.237 0.796
2 Ce 0.373 0.067 0.201
3 Ce 0.627 0.933 0.799
4 Cl 0.828 0.172 0.500
5 Ir 0.334 0.666 0.000
6 C 0.000 0.000 0.000
7 Cl 0.500 0.500 0.500
8 Cl 0.172 0.828 0.500
9 Ce 0.067 0.373 0.201
10 Ce 0.763 0.763 0.204
11 Ce 0.933 0.627 0.799
12 Ir 0.666 0.334 0.000

Results
The size of the total moment is 5.33 μB per formula unit. The value obtained for the raw total energy is -6.7263 eV/atom. For the density of states at the Fermi level, the calculation gives 2.333 states/eV/atom.

***

## Na2Ce3Te6 (GGA-PBE)

Data for crystalline Na2Ce3Te6 at its relaxed geometry.

a b c (Å): 7.880 7.879 7.912
angles (deg): 80.48 70.69 60.00
Sites, in units of the cell vectors:
1 Te 0.078 0.334 0.766
2 Na 0.833 0.334 0.500
3 Ce 0.334 0.332 0.000
4 Te 0.411 0.666 0.766
5 Ce 0.000 0.000 0.000
6 Te 0.922 0.666 0.234
7 Na 0.167 0.666 0.500
8 Te 0.255 0.000 0.236
9 Te 0.745 0.000 0.764
10 Te 0.589 0.334 0.234
11 Ce 0.666 0.668 0.000

Results
The size of the total moment is 2.01 μB per formula unit. The value obtained for the raw total energy is -4.8142 eV/atom. For the density of states at the Fermi level, the calculation gives 1.279 states/eV/atom.

***

## Ce8Te4PIr3 (GGA-PBE)

Data for crystalline Ce8Te4PIr3 at its relaxed geometry.

a b c (Å): 8.404 8.815 8.404
angles (deg): 118.47 120.00 90.00
Sites, in units of the cell vectors:
1 Ce 0.732 0.709 0.970
2 Ce 0.736 0.709 0.473
3 Te 0.000 0.000 0.500
4 Ce 0.762 0.291 0.523
5 Te 0.500 0.000 0.500
6 Te 0.000 0.000 0.000
7 Ir 0.500 0.500 0.500
8 Te 0.500 0.000 0.000
9 Ce 0.761 0.291 0.030
10 Ce 0.238 0.709 0.477
11 Ce 0.239 0.709 0.970
12 Ir 0.000 0.500 0.500
13 Ce 0.264 0.291 0.527
14 P 0.000 0.500 0.000
15 Ir 0.500 0.500 0.000
16 Ce 0.268 0.291 0.030

Results
The size of the total moment is 7.58 μB per formula unit. The value obtained for the raw total energy is -6.8799 eV/atom. For the density of states at the Fermi level, the calculation gives 2.814 states/eV/atom.

***

## CaSbHRh2 (GGA-PBE)

Data for crystalline CaSbHRh2 at its relaxed geometry.

a b c (Å): 3.716 6.139 7.647
angles (deg): 90.00 90.00 107.61
Sites, in units of the cell vectors:
1 H 0.000 0.000 0.500
2 Rh 0.852 0.704 0.049
3 Rh 0.148 0.296 0.951
4 Ca 0.532 0.063 0.250
5 Sb 0.261 0.522 0.250
6 Sb 0.739 0.478 0.750
7 H 0.000 0.000 0.000
8 Rh 0.852 0.704 0.451
9 Rh 0.148 0.296 0.549
10 Ca 0.468 0.937 0.750

Results
The size of the total moment is 0.00 μB per formula unit. The value obtained for the raw total energy is -5.4210 eV/atom. For the density of states at the Fermi level, the calculation gives 0.376 states/eV/atom.

***

## Cs3AsAu (GGA-PBE)

Data for crystalline Cs3AsAu at its relaxed geometry.

a b c (Å): 6.919 6.919 6.919
angles (deg): 90.00 90.00 90.00
Sites, in units of the cell vectors:
1 Au 0.500 0.500 0.500
2 Cs 0.000 0.500 0.000
3 Cs 0.500 0.000 0.000
4 Cs 0.000 0.000 0.500
5 As 0.000 0.000 0.000

Results
The size of the total moment is 1.00 μB per formula unit. For the density of states at the Fermi level, the calculation gives 0.479 states/eV/atom. The calculation puts the offset from the most stable computed form at 18.88 kJ per mole of atoms.

***

## DyScRh (GGA-PBE)

Data for crystalline DyScRh at its relaxed geometry.

a b c (Å): 7.106 9.019 8.422
angles (deg): 122.37 114.95 90.00
Sites, in units of the cell vectors:
1 Dy 0.164 0.955 0.411
2 Rh 0.420 0.667 0.333
3 Rh 0.086 0.333 0.667
4 Rh 0.753 0.250 0.000
5 Sc 0.010 0.000 0.000
6 Dy 0.754 0.545 0.589
7 Sc 0.497 0.372 0.744
8 Dy 0.343 0.750 0.000
9 Dy 0.164 0.455 0.411
10 Rh 0.420 0.167 0.333
11 Sc 0.753 0.628 0.256
12 Dy 0.342 0.250 0.000
13 Sc 0.753 0.128 0.256
14 Sc 0.497 0.872 0.744
15 Rh 0.086 0.833 0.667
16 Rh 0.753 0.750 0.000
17 Sc 0.010 0.500 0.000
18 Dy 0.753 0.045 0.589

Results
The size of the total moment is 0.00 μB per formula unit. For the density of states at the Fermi level, the calculation gives 1.237 states/eV/atom. The calculation puts the offset from the most stable computed form at 0.99 kJ per mole of atoms.

***

## Sc6BiSe5 (GGA-PBE)

Data for crystalline Sc6BiSe5 at its relaxed geometry.

a b c (Å): 6.847 6.820 6.814
angles (deg): 59.97 80.39 70.51
Sites, in units of the cell vectors:
1 Sc 0.267 0.562 0.347
2 Bi 0.000 0.000 0.000
3 Sc 0.741 0.735 0.000
4 Se 0.000 0.669 0.663
5 Se 0.500 0.500 0.000
6 Sc 0.259 0.265 0.000
7 Sc 0.267 0.909 0.653
8 Sc 0.733 0.438 0.653
9 Se 0.500 0.160 0.681
10 Se 0.000 0.331 0.337
11 Se 0.500 0.840 0.319
12 Sc 0.733 0.091 0.347

Results
The size of the total moment is 0.00 μB per formula unit. The value obtained for the raw total energy is -6.3588 eV/atom. For the density of states at the Fermi level, the calculation gives 0.533 states/eV/atom.

***

## P2RhPb (GGA-PBE)

Data for crystalline P2RhPb at its relaxed geometry.

a b c (Å): 4.945 4.945 4.945
angles (deg): 128.66 128.66 75.56
Sites, in units of the cell vectors:
1 Pb 0.500 0.500 0.000
2 Rh 0.750 0.250 0.500
3 P 0.000 0.000 0.000
4 P 0.250 0.750 0.500

Results
The size of the total moment is 0.00 μB per formula unit. The value obtained for the raw total energy is -4.9662 eV/atom. For the density of states at the Fermi level, the calculation gives 0.600 states/eV/atom.

***

## Th3CoTc (GGA-PBE)

Data for crystalline Th3CoTc at its relaxed geometry.

a b c (Å): 3.984 8.150 7.964
angles (deg): 110.58 90.00 90.00
Sites, in units of the cell vectors:
1 Th 0.250 0.370 0.606
2 Th 0.750 0.630 0.394
3 Co 0.250 0.899 0.393
4 Tc 0.250 0.318 0.214
5 Th 0.750 0.071 0.252
6 Tc 0.750 0.682 0.786
7 Th 0.250 0.678 0.047
8 Th 0.750 0.322 0.953
9 Th 0.250 0.929 0.748
10 Co 0.750 0.101 0.607

Results
The size of the total moment is 0.00 μB per formula unit. The value obtained for the raw total energy is -8.1203 eV/atom. For the density of states at the Fermi level, the calculation gives 0.936 states/eV/atom.

***

## Sr2LiNiAs2 (GGA-PBE)

Data for crystalline Sr2LiNiAs2 at its relaxed geometry.

a b c (Å): 6.204 6.149 8.292
angles (deg): 111.76 111.97 90.00
Sites, in units of the cell vectors:
1 Ni 0.500 0.250 0.000
2 As 0.835 0.100 0.199
3 Sr 0.094 0.342 0.684
4 As 0.364 0.600 0.199
5 Sr 0.410 0.158 0.316
6 Ni 0.500 0.750 0.000
7 Li 0.000 0.250 0.000
8 Sr 0.590 0.842 0.684
9 As 0.165 0.900 0.801
10 Li 0.000 0.750 0.000
11 Sr 0.906 0.658 0.316
12 As 0.636 0.400 0.801

Results
The size of the total moment is 0.59 μB per formula unit. The value obtained for the raw total energy is -4.1931 eV/atom. For the density of states at the Fermi level, the calculation gives 0.713 states/eV/atom.